1.
Density functional theory data (PBE-GGA) for a relaxed structure of NaScP2O7.

POSCAR file:
```
NaScP2O7
1.0
8.976 0.000 0.000
0.000 5.350 0.000
-5.919 0.000 12.228
Na Sc P O
4 4 8 28
Cartesian
-0.678 1.240 2.346 Na
-3.637 1.435 8.460 Na
6.694 3.915 3.768 Na
3.734 4.110 9.882 Na
-3.613 1.277 11.909 Sc
-0.654 1.397 5.795 Sc
3.710 3.952 6.433 Sc
6.670 4.072 0.319 Sc
0.927 3.879 1.438 P
-2.033 4.145 7.551 P
0.885 3.988 4.328 P
-2.074 4.036 10.442 P
5.131 1.313 1.786 P
2.172 1.362 7.900 P
5.089 1.204 4.676 P
2.130 1.470 10.790 P
-3.537 3.878 7.745 O
-0.577 4.146 1.631 O
-1.778 0.265 7.193 O
1.181 2.410 1.079 O
-1.369 3.169 6.601 O
1.591 4.856 0.487 O
-3.087 2.885 10.597 O
-0.127 5.140 4.483 O
-2.810 0.035 10.373 O
0.150 2.640 4.259 O
-1.356 3.846 8.997 O
1.603 4.178 2.883 O
1.045 1.310 6.892 O
4.004 1.365 0.778 O
-0.948 3.985 11.450 O
2.012 4.040 5.336 O
1.453 1.171 9.344 O
4.413 1.504 3.230 O
2.907 2.710 7.969 O
5.867 5.315 1.855 O
3.184 0.210 7.745 O
6.143 2.465 1.631 O
1.466 0.494 11.741 O
4.426 2.181 5.627 O
1.875 2.940 11.149 O
4.835 5.084 5.035 O
3.634 1.203 10.596 O
6.594 1.472 4.483 O
```

Properties
- V: 587.14 Å³/cell
- Calculated density: 2.74 g cm⁻³
- Crystal system: monoclinic
- Formation energy from raw total energies: -2.62 eV/atom

2.
Density functional theory data (PBE-GGA) for a relaxed structure of CaTeAs2Se.

POSCAR file:
```
CaTeAs2Se
1.0
5.296 0.000 0.000
0.000 5.296 0.000
0.000 0.000 5.423
Ca Te As Se
1 1 2 1
Cartesian
0.000 0.000 0.000 Ca
2.648 2.648 2.711 Te
0.000 2.648 2.711 As
2.648 0.000 2.711 As
2.648 2.648 0.000 Se
```

Properties
- V: 152.10 Å³/cell
- Offset from the most stable computed form: 0.000 eV/atom
- Calculated density: 4.33 g cm⁻³
- Crystal system: tetragonal
- Formation energy from raw total energies: 0.15 eV/atom

3.
Density functional theory data (PBE-GGA) for a relaxed structure of CaAlCd2.

POSCAR file:
```
CaAlCd2
1.0
3.548 0.000 0.000
0.000 3.548 0.000
0.000 0.000 7.606
Ca Al Cd
1 1 2
Cartesian
0.000 0.000 0.000 Ca
1.774 1.774 5.498 Al
0.000 0.000 3.987 Cd
1.774 1.774 2.189 Cd
```

Properties
- V: 95.77 Å³/cell
- Calculated density: 5.06 g cm⁻³
- Energy relative to the elements: -0.1119 eV per atom
- Crystal system: tetragonal

4.
Density functional theory data (PBE-GGA) for a relaxed structure of RbBaSnO4.

POSCAR file:
```
RbBaSnO4
1.0
2.996 -6.859 0.000
2.996 6.859 0.000
0.000 0.000 6.033
Rb Ba Sn O
2 2 2 8
Cartesian
2.996 5.553 4.525 Rb
2.996 -5.553 1.508 Rb
2.996 1.483 4.525 Ba
2.996 -1.483 1.508 Ba
2.996 3.326 1.508 Sn
2.996 -3.326 4.525 Sn
1.498 3.430 0.000 O
1.498 3.430 3.017 O
2.996 5.368 1.508 O
2.996 1.281 1.508 O
1.498 -3.430 0.000 O
1.498 -3.430 3.017 O
2.996 -1.281 4.525 O
2.996 -5.368 4.525 O
```

Properties
- V: 247.93 Å³/cell
- Calculated density: 5.43 g cm⁻³
- Crystal system: orthorhombic
- Formation energy from raw total energies: -1.73 eV/atom

V of number 4 (RbBaSnO4)? 247.93 Å³/cell

What is the V in the second record? 152.10 Å³/cell